VASP calculation (PBE) on a relaxed Cd5Sb crystal.

The structure in extended XYZ format:
```
6
Lattice="2.425 5.220 0.729 -5.479 -0.419 -1.861 -1.685 0.093 4.938" Properties=species:S:1:pos:R:3 pbc="T T T"
Cd -2.844 1.461 -0.998
Cd -0.210 3.340 -0.135
Cd 0.370 2.656 2.834
Cd -3.582 -0.163 1.538
Cd -2.369 2.447 1.903
Sb 0.000 0.000 0.000
```

- relative energy among the computed polymorphs (meV/atom) = 128
- uncorrected formation energy (kJ/mol of formula units) = 96